First-principles (PBE) data for an optimized crystal structure of NbSi2Mo2, as listed in the Open Quantum Materials Database.

a = 4.5842 Å, b = 4.5842 Å, c = 8.0479 Å
α = 90.00°, β = 90.00°, γ = 90.00°
Closest atoms and distances in Å follow each position.
Space group I4/mmm (No. 139)
Asymmetric unit:
Nb (0.0000, 0.0000, 0.0000) x2  2 Mo 2.85, 8 Si 3.05
Si (0.0000, 0.5000, 0.2500) x4  4 Mo 2.44
Mo (0.0000, 0.0000, 0.3538) x4  1 Mo 2.35, 4 Si 2.44

Output
As for the total magnetization: 0.0010 μB/atom. As for the energy relative to the lowest polymorph listed for this composition: 335.9 meV/atom.